Record 1
An optimized crystal structure of NdZrOs. Source: the Alexandria database, functional PBE.

Structure (POSCAR):
```
NdZrOs
1.0
1.938 -5.761 0.000
1.938 5.761 0.000
0.000 0.000 6.428
Nd Zr Os
2 2 2
Direct
0.212 0.788 0.750
0.788 0.212 0.250
0.500 0.500 0.000
0.500 0.500 0.500
0.090 0.910 0.250
0.910 0.090 0.750
```

Properties
Energy of formation from the pure elements in eV/atom: -0.164

***

Record 2
An optimized crystal structure of NdZrOs2. Source: the Alexandria database, functional PBE.

Structure (POSCAR):
```
NdZrOs2
1.0
3.361 0.000 0.000
0.000 3.361 0.000
0.000 0.000 6.980
Nd Zr Os
1 1 2
Direct
0.000 0.000 0.000
0.000 0.000 0.500
0.500 0.500 0.278
0.500 0.500 0.722
```

Properties
Energy of formation from the pure elements in eV/atom: -0.124

***

Record 3
An optimized crystal structure of NdP3. Source: the Alexandria database, functional PBE.

Structure (POSCAR):
```
NdP3
1.0
-2.005 2.005 4.782
2.005 -2.005 4.782
2.005 2.005 -4.782
Nd P
1 3
Direct
0.000 0.000 0.000
0.250 0.750 0.500
0.500 0.500 0.000
0.750 0.250 0.500
```

Properties
Energy of formation from the pure elements in eV/atom: -0.277

***

So what do the calculations give for volume? Going down the list: 23.9 19.7 19.2 Å³/atom.